Here is crystalline Li2S2F at its relaxed geometry from Alexandria via LeMat-Bulk. Energies are from PBE.

Cell: 7.628 7.628 2.457 Å, 90.00 90.00 90.00°
Element x y z (fractional)
Li 0.835 0.665 0.000
Li 0.335 0.835 0.000
Li 0.665 0.165 0.000
S 0.133 0.633 0.500
S 0.633 0.867 0.500
F 0.000 0.000 0.000
F 0.500 0.500 0.000
Li 0.165 0.335 0.000
S 0.367 0.133 0.500
S 0.867 0.367 0.500

Output
* Fermi-level density of states: 5.44 states/eV/cell
* space-group type: P4/mbm
* formation energy from raw total energies: -0.706 eV per atom